No. 1
Here is a relaxed NaHfReNi2 crystal from the Alexandria database. Energies are from PBE-GGA.

Results
The calculation puts the formation energy at 4.6 eV per formula unit. The electronic total energy comes out at -0.4504 Ry/atom. As for the density of states at the Fermi level: 3.991 states/eV per cell. As for the space group: No. 123.

Cell lengths 4.694, 4.861, 4.694 Å; angles 90.00, 90.00, 90.00 degrees
Atoms (fractional coordinates):
Re  0.000  0.000  0.000
Ni  0.500  0.000  0.000
Ni  0.000  0.000  0.500
Na  0.500  0.500  0.500
Hf  0.000  0.500  0.000

---

No. 2
Here is a relaxed Na2HfReNi crystal from the Alexandria database. Energies are from PBE-GGA.

Results
The calculation puts the formation energy at 10.2 eV per formula unit. The electronic total energy comes out at -0.3026 Ry/atom. As for the density of states at the Fermi level: 9.072 states/eV per cell. As for the space group: No. 123.

Cell lengths 5.664, 4.723, 5.664 Å; angles 90.00, 90.00, 90.00 degrees
Atoms (fractional coordinates):
Hf  0.000  0.000  0.000
Na  0.500  0.000  0.000
Ni  0.500  0.500  0.500
Na  0.000  0.000  0.500
Re  0.000  0.500  0.000

---

No. 3
Here is a relaxed Na2Hf2NiS6 crystal from the Alexandria database. Energies are from PBE-GGA.

Results
The electronic total energy comes out at -0.4457 Ry/atom. The value obtained for the uncorrected formation energy is -1.24 eV per atom. As for the space group: No. 12.

Cell lengths 6.285, 6.285, 7.133 Å; angles 98.43, 98.43, 120.16 degrees
Atoms (fractional coordinates):
S  0.602  0.930  0.291
Ni  0.000  0.000  0.500
S  0.254  0.254  0.294
Na  0.167  0.833  0.000
S  0.930  0.602  0.291
S  0.746  0.746  0.706
S  0.398  0.070  0.709
S  0.070  0.398  0.709
Na  0.833  0.167  0.000
Hf  0.333  0.667  0.500
Hf  0.667  0.333  0.500

---

No. 4
Here is a relaxed Na3Hf2NiS6 crystal from the Alexandria database. Energies are from PBE-GGA.

Results
The electronic total energy comes out at -0.4241 Ry/atom. The value obtained for the uncorrected formation energy is -1.24 eV per atom. As for the density of states at the Fermi level: 6.232 states/eV per cell. As for the space group: No. 12.

Cell lengths 6.397, 6.397, 6.971 Å; angles 98.81, 98.81, 119.98 degrees
Atoms (fractional coordinates):
S  0.263  0.263  0.786
S  0.406  0.071  0.214
S  0.737  0.737  0.214
Na  0.165  0.835  0.500
Hf  0.667  0.333  0.000
S  0.594  0.929  0.786
Hf  0.333  0.667  0.000
Na  0.835  0.165  0.500
Na  0.500  0.500  0.500
S  0.071  0.406  0.214
Ni  0.000  0.000  0.000
S  0.929  0.594  0.786

---

No. 5
Here is a relaxed Na4Hf3NiS8 crystal from the Alexandria database. Energies are from PBE-GGA.

Results
The electronic total energy comes out at -0.4344 Ry/atom. The value obtained for the uncorrected formation energy is -1.29 eV per atom. As for the density of states at the Fermi level: 7.043 states/eV per cell. As for the space group: No. 166.

Cell lengths 7.350, 7.920, 7.352 Å; angles 117.67, 119.99, 90.00 degrees
Atoms (fractional coordinates):
Ni  0.000  0.500  0.000
S  0.764  0.287  0.023
S  0.764  0.287  0.528
Hf  0.500  0.500  0.500
Hf  0.000  0.500  0.500
S  0.259  0.287  0.023
Na  0.000  0.000  0.500
S  0.236  0.713  0.472
S  0.741  0.713  0.977
S  0.740  0.721  0.481
S  0.236  0.713  0.977
Hf  0.500  0.500  0.000
Na  0.000  0.000  0.000
Na  0.500  0.000  0.500
S  0.260  0.279  0.519
Na  0.500  0.000  0.000

---

No. 6
Here is a relaxed NaHf2NiS crystal from the Alexandria database. Energies are from PBE-GGA.

Results
The electronic total energy comes out at -0.4438 Ry/atom. The value obtained for the uncorrected formation energy is 0.19 eV per atom. As for the density of states at the Fermi level: 7.702 states/eV per cell. As for the space group: No. 123.

Cell lengths 4.765, 4.681, 4.765 Å; angles 90.00, 90.00, 90.00 degrees
Atoms (fractional coordinates):
Hf  0.000  0.000  0.500
Ni  0.500  0.500  0.500
Hf  0.500  0.000  0.000
Na  0.000  0.500  0.000
S  0.000  0.000  0.000

---

No. 7
Here is a relaxed Na2HfScNi crystal from the Alexandria database. Energies are from PBE-GGA.

Results
The calculation puts the formation energy at 6.0 eV per formula unit. The electronic total energy comes out at -0.2751 Ry/atom. As for the density of states at the Fermi level: 4.427 states/eV per cell. As for the space group: No. 123.

Cell lengths 5.201, 4.337, 5.201 Å; angles 90.00, 90.00, 90.00 degrees
Atoms (fractional coordinates):
Hf  0.500  0.500  0.500
Na  0.500  0.000  0.000
Na  0.000  0.000  0.500
Ni  0.000  0.500  0.000
Sc  0.000  0.000  0.000

---

No. 8
Here is a relaxed Na3Hf3NiSe8 crystal from the Alexandria database. Energies are from PBE-GGA.

Results
The electronic total energy comes out at -0.4120 Ry/atom. The value obtained for the uncorrected formation energy is -1.11 eV per atom. As for the density of states at the Fermi level: 5.587 states/eV per cell. As for the space group: No. 166.

Cell lengths 7.616, 7.618, 8.395 Å; angles 117.00, 90.00, 119.99 degrees
Atoms (fractional coordinates):
Se  0.767  0.534  0.290
Se  0.233  0.466  0.710
Na  0.500  0.500  0.000
Se  0.741  0.481  0.722
Se  0.767  0.024  0.290
Se  0.743  0.976  0.710
Na  0.000  0.500  0.000
Na  0.000  0.000  0.000
Hf  0.500  0.000  0.500
Ni  0.000  0.000  0.500
Hf  0.000  0.500  0.500
Hf  0.500  0.500  0.500
Se  0.259  0.519  0.278
Se  0.233  0.976  0.710
Se  0.257  0.024  0.290

---

No. 9
Here is a relaxed Na3Hf2NiSe6 crystal from the Alexandria database. Energies are from PBE-GGA.

Results
The electronic total energy comes out at -0.3878 Ry/atom. The value obtained for the uncorrected formation energy is -1.06 eV per atom. As for the density of states at the Fermi level: 6.199 states/eV per cell. As for the space group: No. 12.

Cell lengths 6.697, 6.697, 7.313 Å; angles 98.82, 98.82, 119.99 degrees
Atoms (fractional coordinates):
Se  0.071  0.401  0.214
Na  0.500  0.500  0.500
Se  0.929  0.599  0.786
Na  0.168  0.832  0.500
Na  0.832  0.168  0.500
Se  0.259  0.259  0.785
Ni  0.000  0.000  0.000
Se  0.599  0.929  0.786
Hf  0.666  0.334  0.000
Se  0.741  0.741  0.215
Se  0.401  0.071  0.214
Hf  0.334  0.666  0.000

---

No. 10
Here is a relaxed NaHfNiSe3 crystal from the Alexandria database. Energies are from PBE-GGA.

Results
The electronic total energy comes out at -0.4130 Ry/atom. The value obtained for the uncorrected formation energy is -1.03 eV per atom. As for the density of states at the Fermi level: 8.154 states/eV per cell. As for the space group: No. 11.

Cell lengths 3.769, 8.124, 9.280 Å; angles 109.11, 90.00, 90.00 degrees
Atoms (fractional coordinates):
Ni  0.750  0.910  0.408
Se  0.250  0.557  0.854
Se  0.750  0.230  0.528
Se  0.750  0.910  0.145
Hf  0.750  0.307  0.827
Se  0.250  0.090  0.855
Na  0.250  0.221  0.256
Se  0.750  0.443  0.146
Se  0.250  0.770  0.472
Ni  0.250  0.090  0.592
Na  0.750  0.779  0.744
Hf  0.250  0.693  0.173

---

No. 11
Here is a relaxed Na3Hf3NiTe8 crystal from the Alexandria database. Energies are from PBE-GGA.

Results
The electronic total energy comes out at -0.3686 Ry/atom. The value obtained for the uncorrected formation energy is -0.70 eV per atom. As for the density of states at the Fermi level: 8.403 states/eV per cell. As for the space group: No. 166.

Cell lengths 8.143, 8.145, 9.087 Å; angles 116.64, 90.00, 119.99 degrees
Atoms (fractional coordinates):
Te  0.228  0.457  0.706
Ni  0.000  0.000  0.500
Hf  0.500  0.500  0.500
Na  0.000  0.000  0.000
Te  0.771  0.022  0.293
Hf  0.500  0.000  0.500
Te  0.741  0.481  0.722
Te  0.229  0.978  0.707
Te  0.251  0.022  0.293
Na  0.000  0.500  0.000
Te  0.772  0.543  0.294
Te  0.259  0.519  0.278
Na  0.500  0.500  0.000
Te  0.749  0.978  0.707
Hf  0.000  0.500  0.500

---

No. 12
Here is a relaxed NaHfTiNi2 crystal from the Alexandria database. Energies are from PBE-GGA.

Results
The calculation puts the formation energy at 5.0 eV per formula unit. The electronic total energy comes out at -0.3777 Ry/atom. As for the density of states at the Fermi level: 5.445 states/eV per cell. As for the space group: No. 123.

Cell lengths 4.703, 4.932, 4.703 Å; angles 90.00, 90.00, 90.00 degrees
Atoms (fractional coordinates):
Ni  0.000  0.000  0.500
Na  0.500  0.500  0.500
Ti  0.000  0.500  0.000
Hf  0.000  0.000  0.000
Ni  0.500  0.000  0.000

---

No. 13
Here is a relaxed NaHfNpO6 crystal from the Alexandria database. Energies are from PBE-GGA.

Results
The electronic total energy comes out at -0.6408 Ry/atom. The value obtained for the uncorrected formation energy is -2.72 eV per atom. As for the space group: No. 102.

Cell lengths 5.019, 5.019, 9.857 Å; angles 90.00, 90.00, 90.00 degrees
Atoms (fractional coordinates):
O  0.793  0.207  0.189
Hf  0.500  0.500  0.169
Np  0.500  0.500  0.832
O  0.174  0.826  0.496
O  0.207  0.793  0.189
O  0.715  0.715  0.314
O  0.826  0.174  0.496
O  0.674  0.674  0.996
Na  0.000  0.000  0.999
O  0.285  0.285  0.314
O  0.707  0.707  0.689
O  0.293  0.293  0.689
O  0.215  0.785  0.814
Na  0.500  0.500  0.499
Np  0.000  0.000  0.332
O  0.785  0.215  0.814
Hf  0.000  0.000  0.669
O  0.326  0.326  0.996

---

No. 14
Here is a relaxed NaHfNpS4 crystal from the Alexandria database. Energies are from PBE-GGA.

Results
The electronic total energy comes out at -0.5329 Ry/atom. The value obtained for the uncorrected formation energy is -1.43 eV per atom. As for the density of states at the Fermi level: 17.194 states/eV per cell. As for the space group: No. 74.

Cell lengths 8.251, 7.938, 7.594 Å; angles 118.58, 90.00, 121.31 degrees
Atoms (fractional coordinates):
Hf  0.500  0.000  0.500
Na  0.114  0.228  0.864
S  0.273  0.546  0.759
S  0.716  0.009  0.254
S  0.708  0.991  0.746
Hf  0.500  0.000  0.000
S  0.273  0.546  0.287
S  0.284  0.991  0.746
Np  0.500  0.500  0.500
S  0.727  0.454  0.241
S  0.727  0.454  0.713
S  0.292  0.009  0.254
Na  0.886  0.772  0.136
Np  0.000  0.500  0.500

---

No. 15
Here is a relaxed Na4Hf3NpS8 crystal from the Alexandria database. Energies are from PBE-GGA.

Results
The electronic total energy comes out at -0.4771 Ry/atom. The value obtained for the uncorrected formation energy is -1.42 eV per atom. As for the density of states at the Fermi level: 11.864 states/eV per cell. As for the space group: No. 166.

Cell lengths 7.458, 8.045, 7.459 Å; angles 117.63, 120.00, 90.00 degrees
Atoms (fractional coordinates):
S  0.727  0.725  0.976
Hf  0.000  0.500  0.500
S  0.751  0.275  0.502
S  0.249  0.725  0.976
Na  0.500  0.000  0.000
Np  0.000  0.500  0.000
S  0.249  0.725  0.498
S  0.273  0.275  0.024
Na  0.000  0.000  0.500
Hf  0.500  0.500  0.000
S  0.740  0.719  0.479
Hf  0.500  0.500  0.500
Na  0.500  0.000  0.500
S  0.260  0.281  0.521
S  0.751  0.275  0.024
Na  0.000  0.000  0.000

---

No. 16
Here is a relaxed Na2HfNp2S6 crystal from the Alexandria database. Energies are from PBE-GGA.

Results
The electronic total energy comes out at -0.5261 Ry/atom. The value obtained for the uncorrected formation energy is -1.41 eV per atom. As for the density of states at the Fermi level: 20.711 states/eV per cell. As for the space group: No. 12.

Cell lengths 6.727, 6.727, 7.113 Å; angles 99.09, 99.09, 119.41 degrees
Atoms (fractional coordinates):
Na  0.832  0.168  0.000
Np  0.335  0.665  0.500
S  0.389  0.070  0.718
Hf  0.000  0.000  0.500
S  0.762  0.762  0.719
Np  0.665  0.335  0.500
S  0.611  0.930  0.282
Na  0.168  0.832  0.000
S  0.930  0.611  0.282
S  0.238  0.238  0.281
S  0.070  0.389  0.718

---

No. 17
Here is a relaxed Na3HfNp3S8 crystal from the Alexandria database. Energies are from PBE-GGA.

Results
The electronic total energy comes out at -0.5236 Ry/atom. The value obtained for the uncorrected formation energy is -1.41 eV per atom. As for the density of states at the Fermi level: 27.808 states/eV per cell. As for the space group: No. 166.

Cell lengths 7.879, 7.879, 8.128 Å; angles 119.01, 90.00, 120.00 degrees
Atoms (fractional coordinates):
S  0.743  0.485  0.728
S  0.241  0.012  0.284
S  0.759  0.988  0.716
Na  0.500  0.500  0.000
Na  0.000  0.500  0.000
S  0.229  0.988  0.716
Np  0.500  0.500  0.500
Np  0.000  0.500  0.500
S  0.771  0.012  0.284
Hf  0.000  0.000  0.500
S  0.229  0.458  0.716
Na  0.000  0.000  0.000
S  0.771  0.542  0.284
Np  0.500  0.000  0.500
S  0.257  0.515  0.272

---

No. 18
Here is a relaxed Na3HfNp2S6 crystal from the Alexandria database. Energies are from PBE-GGA.

Results
The electronic total energy comes out at -0.4972 Ry/atom. The value obtained for the uncorrected formation energy is -1.39 eV per atom. As for the density of states at the Fermi level: 21.080 states/eV per cell. As for the space group: No. 12.

Cell lengths 6.752, 6.752, 7.084 Å; angles 99.17, 99.17, 120.03 degrees
Atoms (fractional coordinates):
S  0.609  0.925  0.774
Na  0.500  0.500  0.500
Np  0.333  0.667  0.000
S  0.391  0.075  0.226
S  0.240  0.240  0.776
Hf  0.000  0.000  0.000
Na  0.832  0.168  0.500
S  0.760  0.760  0.224
S  0.075  0.391  0.226
S  0.925  0.609  0.774
Na  0.168  0.832  0.500
Np  0.667  0.333  0.000

---

No. 19
Here is a relaxed Na4HfNp3S8 crystal from the Alexandria database. Energies are from PBE-GGA.

Results
The electronic total energy comes out at -0.5012 Ry/atom. The value obtained for the uncorrected formation energy is -1.38 eV per atom. As for the density of states at the Fermi level: 28.500 states/eV per cell. As for the space group: No. 166.

Cell lengths 7.844, 8.097, 7.843 Å; angles 118.99, 120.00, 90.00 degrees
Atoms (fractional coordinates):
S  0.768  0.276  0.535
Np  0.000  0.500  0.500
Np  0.500  0.500  0.500
Np  0.500  0.500  0.000
Hf  0.000  0.500  0.000
S  0.232  0.724  0.465
Na  0.500  0.000  0.000
S  0.232  0.724  0.992
S  0.744  0.732  0.488
S  0.241  0.276  0.008
S  0.759  0.724  0.992
S  0.256  0.268  0.512
Na  0.500  0.000  0.500
S  0.768  0.276  0.008
Na  0.000  0.000  0.000
Na  0.000  0.000  0.500

---

No. 20
Here is a relaxed Na2HfNpS4 crystal from the Alexandria database. Energies are from PBE-GGA.

Results
The electronic total energy comes out at -0.4887 Ry/atom. The value obtained for the uncorrected formation energy is -1.39 eV per atom. As for the density of states at the Fermi level: 9.674 states/eV per cell. As for the space group: No. 10.

Cell lengths 3.809, 6.658, 7.101 Å; angles 107.93, 90.00, 90.00 degrees
Atoms (fractional coordinates):
Hf  0.500  0.500  0.000
S  0.500  0.261  0.228
Na  0.000  0.500  0.500
S  0.000  0.725  0.221
S  0.500  0.739  0.772
Na  0.500  0.000  0.500
Np  0.000  0.000  0.000
S  0.000  0.275  0.779

---

No. 21
Here is a relaxed NaHf3O crystal from the Alexandria database. Energies are from PBE-GGA.

Results
The electronic total energy comes out at -0.3818 Ry/atom. The value obtained for the uncorrected formation energy is 2.03 eV per atom. As for the density of states at the Fermi level: 5.328 states/eV per cell. As for the space group: No. 221.

Cell lengths 4.920, 4.920, 4.920 Å; angles 90.00, 90.00, 90.00 degrees
Atoms (fractional coordinates):
Na  0.000  0.000  0.000
O  0.500  0.500  0.500
Hf  0.000  0.500  0.000
Hf  0.500  0.000  0.000
Hf  0.000  0.000  0.500